Below is SrMoCl6 after structural relaxation, with properties calculated at the PBE level.

Properties
VASP energy ... -4.36 eV per atom

abc: 6.6192 6.6203 7.1441
angles: 62.41 62.39 59.98
With the nearest neighbours (Å) after each atom.
Positions (direct):
Cl 0.3843 0.7916 0.7720  1 Mo 2.40
Cl 0.9479 0.6159 0.2280  1 Mo 2.40
Cl 0.2083 0.9479 0.2281  1 Mo 2.40
Cl 0.6157 0.2084 0.2280  1 Mo 2.40
Cl 0.7917 0.0521 0.7719  1 Mo 2.40
Cl 0.0521 0.3841 0.7720  1 Mo 2.40
Sr 0.5000 0.5000 0.5000  6 Cl 2.95
Mo 0.0000 0.0000 0.0000  6 Cl 2.40

***

Below is SrMoCl2 after structural relaxation, with properties calculated at the PBE level.

Properties
VASP energy ... -4.46 eV per atom

abc: 5.8298 5.8298 5.8298
angles: 145.74 120.84 70.17
With the nearest neighbours (Å) after each atom.
Positions (direct):
Cl 0.5584 0.5584 0.0000  2 Mo 2.51
Cl 0.9416 0.9416 0.0000  2 Mo 2.51
Sr 0.2500 0.7500 0.5000  4 Mo 3.35, 8 Cl 3.41, 2 Sr 3.43
Mo 0.7500 0.2500 0.5000  4 Cl 2.51

***

Below is SrMoCl2 after structural relaxation, with properties calculated at the PBE level.

Properties
VASP energy ... -4.53 eV per atom

abc: 5.3484 5.3484 5.8128
angles: 88.88 88.88 46.47
With the nearest neighbours (Å) after each atom.
Positions (direct):
Cl 0.5745 0.5745 0.4586  1 Mo 2.44
Cl 0.9255 0.9255 0.0414  1 Mo 2.44
Mo 0.7500 0.7500 0.7500  2 Cl 2.44
Sr 0.2500 0.2500 0.2500  4 Cl 2.97

***

Below is SrMoCl2 after structural relaxation, with properties calculated at the PBE level.

Properties
VASP energy ... -4.26 eV per atom

abc: 4.8953 4.8953 3.9842
angles: 90.00 90.00 90.15
With the nearest neighbours (Å) after each atom.
Positions (direct):
Cl 0.0000 0.0000 0.0000  4 Sr 3.16, 4 Mo 3.16, 4 Cl 3.46-3.47
Cl 0.5000 0.5000 0.0000  4 Mo 3.16, 4 Sr 3.16, 4 Cl 3.46-3.47
Sr 0.0000 0.5000 0.5000  8 Cl 3.16, 4 Mo 3.46-3.47
Mo 0.5000 0.0000 0.5000  8 Cl 3.16, 4 Sr 3.46-3.47

***

Below is SrMoCl2 after structural relaxation, with properties calculated at the PBE level.

Properties
VASP energy ... -4.30 eV per atom

abc: 6.8548 6.8548 6.8548
angles: 145.31 145.31 49.88
With the nearest neighbours (Å) after each atom.
Positions (direct):
Cl 0.2500 0.7500 0.5000  4 Sr 2.89
Cl 0.0000 0.0000 0.0000  4 Mo 2.89
Mo 0.5000 0.5000 0.0000  4 Cl 2.89
Sr 0.7500 0.2500 0.5000  4 Cl 2.89

***

Below is SrMoCl2 after structural relaxation, with properties calculated at the PBE level.

Properties
VASP energy ... -4.42 eV per atom

abc: 11.1637 11.1637 11.1637
angles: 21.18 21.18 21.18
With the nearest neighbours (Å) after each atom.
Positions (direct):
Cl 0.4655 0.4655 0.4655  3 Sr 2.86
Cl 0.0345 0.0345 0.0345  3 Sr 2.86
Sr 0.7500 0.7500 0.7500  6 Cl 2.86
Mo 0.2500 0.2500 0.2500  6 Mo 4.10, 6 Cl 4.53